An optimized crystal structure of LiZrTl. Source: Alexandria via LeMat-Bulk, functional PBE-GGA.

Lattice parameters (Å, degrees): 3.2265 3.2265 11.8838 90.00 90.00 90.00
Last column: nearest neighbours and their distance in Å.
Space group I4mm (No. 107)
Inequivalent atoms, fractional coordinates:
Li  0.0000  0.0000  0.0000 (multiplicity 2)  4 Tl 2.80, 4 Zr 3.10
Zr  0.0000  0.0000  0.3235 (multiplicity 2)  4 Li 3.10, 4 Tl 3.19, 4 Zr 3.23
Tl  0.0000  0.0000  0.6362 (multiplicity 2)  4 Li 2.80

Properties
Magnetic moment: 0.00 μB per formula unit
Energy relative to the elements: 44 meV per atom
Crystal system: tetragonal
Uncorrected energy: -4.23 eV per atom
Offset from the most stable computed form: 0.189 eV/atom
DOS(E_F): 6.661 states/eV/cell



An optimized crystal structure of LiZrTl. Source: Alexandria via LeMat-Bulk, functional PBE-GGA.

Lattice parameters (Å, degrees): 5.0173 5.0173 5.9852 90.00 90.00 120.00
Last column: nearest neighbours and their distance in Å.
Space group P6_3/mmc (No. 194)
Inequivalent atoms, fractional coordinates:
Li  0.0000  0.0000  0.0000 (multiplicity 2)  2 Li 2.99, 6 Zr 3.26, 6 Tl 3.26
Zr  0.3333  0.6667  0.2500 (multiplicity 2)  5 Tl 2.90-2.99
Tl  0.3333  0.6667  0.7500 (multiplicity 2)  5 Zr 2.90-2.99

Properties
Magnetic moment: 0.00 μB per formula unit
Energy relative to the elements: -35 meV per atom
Crystal system: hexagonal
Uncorrected energy: -4.31 eV per atom
Offset from the most stable computed form: 0.110 eV/atom
DOS(E_F): 1.464 states/eV/cell



An optimized crystal structure of LiZrTl2. Source: Alexandria via LeMat-Bulk, functional PBE-GGA.

Lattice parameters (Å, degrees): 3.3578 3.3578 7.6148 90.00 90.00 90.00
Last column: nearest neighbours and their distance in Å.
Space group P4/mmm (No. 123)
Inequivalent atoms, fractional coordinates:
Li  0.0000  0.0000  0.0000 (multiplicity 1)  8 Tl 2.94
Zr  0.0000  0.0000  0.5000 (multiplicity 1)  8 Tl 3.16, 4 Zr 3.36
Tl  0.5000  0.5000  0.2268 (multiplicity 2)  4 Li 2.94, 4 Zr 3.16

Properties
Magnetic moment: 0.00 μB per formula unit
Energy relative to the elements: -125 meV per atom
Crystal system: tetragonal
Uncorrected energy: -3.92 eV per atom
DOS(E_F): 3.004 states/eV/cell



An optimized crystal structure of LiZrTl2. Source: Alexandria via LeMat-Bulk, functional PBE-GGA.

Lattice parameters (Å, degrees): 3.4367 5.4822 10.4497 90.00 90.00 90.00
Last column: nearest neighbours and their distance in Å.
Space group Cmm2 (No. 35)
Inequivalent atoms, fractional coordinates:
Li  0.0000  0.0000  0.0000 (multiplicity 2)  2 Tl 2.99, 2 Zr 3.12, 4 Li 3.24
Zr  0.0000  0.5000  0.7505 (multiplicity 2)  2 Li 3.12, 2 Tl 3.12, 6 Zr 3.24-3.44
Tl  0.0000  0.0000  0.5011 (multiplicity 2)  2 Zr 3.12, 8 Tl 3.24-3.44
Tl  0.0000  0.5000  0.2345 (multiplicity 2)  2 Li 2.99, 6 Tl 3.24-3.27

Properties
Magnetic moment: 0.00 μB per formula unit
Energy relative to the elements: 132 meV per atom
Crystal system: orthorhombic
Uncorrected energy: -3.67 eV per atom
DOS(E_F): 3.597 states/eV/cell